[1]
Density functional theory data (PBE) for a relaxed NaPu2Sb crystal.

DOS at the Fermi energy, states/eV/f.u.: 12.3
ΔE_f (raw), eV/atom: -0.175
Space group: P4/mmm

```
NaPu2Sb
1.0
4.910 0.000 0.000
0.000 4.615 0.000
0.000 0.000 4.615
Sb Na Pu
1 1 2
direct
0.500 0.000 0.000
0.500 0.500 0.500
0.000 0.000 0.500
0.000 0.500 0.000
```

[2]
Density functional theory data (PBE) for a relaxed YTl3F crystal.

Excess energy over the best structure of this formula in the dataset, meV per atom: 776
DOS at the Fermi energy, states/eV/f.u.: 4.8
ΔE_f (raw), eV/atom: 0.178
Space group: Pm-3m

```
YTl3F
1.0
6.111 0.000 0.000
0.000 6.111 0.000
0.000 0.000 6.111
Y Tl F
1 3 1
direct
0.000 0.000 0.000
0.000 0.500 0.000
0.000 0.000 0.500
0.500 0.000 0.000
0.500 0.500 0.500
```

[3]
Density functional theory data (PBE) for a relaxed RePb2Se2 crystal.

DOS at the Fermi energy, states/eV/f.u.: 2.1
ΔE_f (raw), eV/atom: 0.536
Space group: I4/mmm

```
RePb2Se2
1.0
-0.087 -5.852 -0.875
3.676 -0.444 4.616
-5.154 2.803 0.772
Re Pb Se
1 2 2
direct
0.000 0.000 0.000
0.750 0.250 0.500
0.250 0.750 0.500
0.700 0.700 0.000
0.300 0.300 0.000
```

[4]
Density functional theory data (PBE) for a relaxed Y2CuS crystal.

DOS at the Fermi energy, states/eV/f.u.: 2.9
ΔE_f (raw), eV/atom: -0.949
Space group: R3m

```
Y2CuS
1.0
3.830 0.000 0.000
1.915 3.317 0.000
1.915 1.106 7.193
Y Cu S
2 1 1
direct
0.082 0.082 0.753
0.251 0.251 0.246
0.668 0.668 0.997
0.499 0.499 0.504
```

[5]
Density functional theory data (PBE) for a relaxed TiNb3F crystal.

Excess energy over the best structure of this formula in the dataset, meV per atom: 1316
DOS at the Fermi energy, states/eV/f.u.: 7.3
ΔE_f (raw), eV/atom: 1.294
Space group: Pm-3m

```
TiNb3F
1.0
-2.779 2.850 -2.590
-3.619 -0.841 2.957
1.316 3.704 2.665
Nb F Ti
3 1 1
direct
0.000 0.500 0.000
0.000 0.000 0.500
0.500 0.000 0.000
0.500 0.500 0.500
0.000 0.000 0.000
```

[6]
Density functional theory data (PBE) for a relaxed RbSNCl2 crystal.

Excess energy over the best structure of this formula in the dataset, meV per atom: 0
DOS at the Fermi energy, states/eV/f.u.: 4.2
ΔE_f (raw), eV/atom: 0.027
Space group: P4/mmm

```
RbSNCl2
1.0
-4.019 -4.260 -2.134
4.593 -4.207 -0.250
-0.682 -0.932 3.147
S N Rb Cl
1 1 1 2
direct
0.000 0.000 0.500
0.000 0.000 0.000
0.500 0.500 0.500
0.000 0.500 0.000
0.500 0.000 0.000
```

[7]
Density functional theory data (PBE) for a relaxed CaPmRu crystal.

Excess energy over the best structure of this formula in the dataset, meV per atom: 133
Calculated formation energy, eV/atom: 0.087
DOS at the Fermi energy, states/eV/f.u.: 3.2
Space group: F-43m

```
CaPmRu
1.0
-3.237 3.602 0.473
-4.373 -0.368 -2.101
-3.969 -0.641 2.740
Ru Ca Pm
1 1 1
direct
0.250 0.250 0.250
0.000 0.000 0.000
0.500 0.500 0.500
```

[8]
Density functional theory data (PBE) for a relaxed Tb2MgSi3Au4 crystal.

DOS at the Fermi energy, states/eV/f.u.: 3.4
ΔE_f (raw), eV/atom: -0.603
Space group: P-4m2

```
Tb2MgSi3Au4
1.0
-1.757 3.784 0.714
-0.335 -0.932 4.115
9.833 4.235 1.758
Tb Mg Si Au
2 1 3 4
direct
0.500 0.000 0.231
0.000 0.500 0.769
0.500 0.500 0.500
0.000 0.000 0.500
0.500 0.000 0.863
0.000 0.500 0.137
0.500 0.500 0.000
0.000 0.000 0.000
0.500 0.000 0.642
0.000 0.500 0.358
```

[9]
Density functional theory data (PBE) for a relaxed BaNdLu2 crystal.

Calculated formation energy, eV/atom: 0.183
DOS at the Fermi energy, states/eV/f.u.: 5.8
Space group: P4/mmm

```
BaNdLu2
1.0
3.712 0.000 0.000
0.000 3.712 0.000
0.000 0.000 10.607
Lu Nd Ba
2 1 1
direct
0.000 0.000 0.781
0.000 0.000 0.219
0.500 0.500 0.000
0.500 0.500 0.500
```

[10]
Density functional theory data (PBE) for a relaxed NbIrPb3 crystal.

Excess energy over the best structure of this formula in the dataset, meV per atom: 326
Calculated formation energy, eV/atom: 1.358
DOS at the Fermi energy, states/eV/f.u.: 6.9
Space group: Pm-3m

```
NbIrPb3
1.0
-2.059 2.098 -4.573
2.850 -3.585 -2.928
-4.146 -3.506 0.258
Pb Nb Ir
3 1 1
direct
0.000 0.500 0.000
0.000 0.000 0.500
0.500 0.000 0.000
0.000 0.000 0.000
0.500 0.500 0.500
```

[11]
Density functional theory data (PBE) for a relaxed BaPdI2O crystal.

Excess energy over the best structure of this formula in the dataset, meV per atom: 641
DOS at the Fermi energy, states/eV/f.u.: 9.8
ΔE_f (raw), eV/atom: -0.181
Space group: P4/mmm

```
BaPdI2O
1.0
-1.305 4.395 -5.033
3.687 -3.802 -4.277
-3.668 -2.334 -1.087
I O Ba Pd
2 1 1 1
direct
0.000 0.500 0.000
0.500 0.000 0.000
0.000 0.000 0.500
0.000 0.000 0.000
0.500 0.500 0.500
```

[12]
Density functional theory data (PBE) for a relaxed KZn9Ga4 crystal.

Calculated formation energy, eV/atom: -0.037
DOS at the Fermi energy, states/eV/f.u.: 3.5
Space group: I4/mcm

```
KZn9Ga4
1.0
-2.384 8.531 -1.584
-7.299 -2.860 -4.417
1.582 -2.756 8.335
K Zn Ga
2 18 8
direct
0.750 0.750 0.500
0.250 0.250 0.500
0.049 0.200 0.000
0.951 0.800 0.000
0.549 0.300 0.000
0.451 0.700 0.000
0.300 0.451 0.000
0.700 0.549 0.000
0.200 0.951 0.000
0.800 0.049 0.000
0.000 0.500 0.000
0.500 0.000 0.000
0.792 0.292 0.348
0.556 0.056 0.348
0.944 0.208 0.652
0.708 0.444 0.652
0.208 0.708 0.652
0.444 0.944 0.652
0.292 0.556 0.348
0.056 0.792 0.348
0.307 0.807 0.251
0.944 0.444 0.251
0.556 0.693 0.749
0.193 0.056 0.749
0.693 0.193 0.749
0.056 0.556 0.749
0.807 0.944 0.251
0.444 0.307 0.251
```